Entry from Alexandria via LeMat-Bulk: an optimized crystal structure of TlNi3O (PBE with a Hubbard U).

Properties
Energy   -2.89 eV/atom
Crystal system   cubic
DOS at the Fermi energy   1.86 states/eV per cell
SG   Pm-3m

a b c (Å): 4.0821 4.0821 4.0821
angles (deg): 90.00 90.00 90.00
Fractional coordinates of all 5 atoms:
Tl  0.0000  0.0000  0.0000
Ni  0.0000  0.5000  0.5000
Ni  0.5000  0.0000  0.5000
Ni  0.5000  0.5000  0.0000
O  0.5000  0.5000  0.5000